[1]
An optimized crystal structure of GaAgSn2I6, computed with GGA-PBE.

Output
Formation energy from raw total energies in eV/atom: -0.383
Density in g/cm³: 4.9
SG: R3, No. 146
D(E_F) in states/eV/cell: 0.00

```
GaAgSn2I6
1.0
7.929 0.000 0.002
3.964 6.868 0.000
3.966 2.288 7.373
Sn I Ag Ga
2 6 1 1
Direct
0.507 0.507 0.478
0.005 0.004 0.986
0.932 0.589 0.242
0.724 0.111 0.756
0.410 0.724 0.756
0.238 0.932 0.242
0.111 0.410 0.756
0.589 0.238 0.242
0.324 0.324 0.027
0.823 0.823 0.531
```



[2]
An optimized crystal structure of GaAgTeI2, computed with GGA-PBE.

Output
Formation energy from raw total energies in eV/atom: 0.251
Density in g/cm³: 5.3
SG: P4/mmm, No. 123
D(E_F) in states/eV/cell: 3.41
Energy above the most stable polymorph in this dataset in eV per atom: 0.094

```
GaAgTeI2
1.0
5.670 0.000 0.000
0.000 5.670 0.000
0.000 0.000 5.446
Te Ga I Ag
1 1 2 1
Direct
0.000 0.000 0.500
0.000 0.000 0.000
0.500 0.000 0.000
0.000 0.500 0.000
0.500 0.500 0.500
```